Sc2FeB2RuRh4: PBEsol geometry, SCAN.

Values from the calculation:
M_tot, μB/atom: 0.43
Formation energy, kJ/mol of formula units: -825

Geometry as CIF:
```
data_Sc2FeB2RuRh4
_chemical_formula_sum 'Sc4 Fe2 B4 Ru2 Rh8'
_cell_length_a 9.2283
_cell_length_b 9.2283
_cell_length_c 2.9929
_cell_angle_alpha 90.00
_cell_angle_beta 90.00
_cell_angle_gamma 90.00
_space_group_name_H-M_alt 'P 4/m b m'
_space_group_IT_number 127
_space_group_name_Hall '-P 4 2ab'
loop_
_atom_site_label
_atom_site_type_symbol
_atom_site_fract_x
_atom_site_fract_y
_atom_site_fract_z
_atom_site_occupancy
Sc1 Sc 0.1737 0.3263 0.0000 1
Fe1 Fe 0.0000 0.0000 0.0000 1
B1 B 0.1236 0.6236 0.0000 1
Ru1 Ru 0.0000 0.5000 0.5000 1
Rh1 Rh 0.0720 0.7865 0.5000 1
```

Ti2FeB2Ru4Rh: PBEsol geometry, SCAN.

Values from the calculation:
M_tot, μB/atom: 0.33
Formation energy, kJ/mol of formula units: -619

Geometry as CIF:
```
data_Ti2FeB2Ru4Rh
_chemical_formula_sum 'Ti4 Fe2 B4 Ru8 Rh2'
_cell_length_a 9.0331
_cell_length_b 2.9481
_cell_length_c 9.0918
_cell_angle_alpha 90.00
_cell_angle_beta 90.06
_cell_angle_gamma 90.00
_space_group_name_H-M_alt 'P 1 2/m 1'
_space_group_IT_number 10
loop_
_space_group_symop_operation_xyz
'x,y,z'
'-x,-y,-z'
'-x,y,-z'
'x,-y,z'
loop_
_atom_site_label
_atom_site_type_symbol
_atom_site_fract_x
_atom_site_fract_y
_atom_site_fract_z
_atom_site_occupancy
Ti1 Ti 0.1740 0.0000 0.1804 1
Ti2 Ti 0.3238 0.0000 0.6709 1
Fe1 Fe 0.0000 0.0000 0.5000 1
Fe2 Fe 0.5000 0.0000 0.0000 1
B1 B 0.1223 0.0000 0.8731 1
B2 B 0.3760 0.0000 0.3736 1
Ru1 Ru 0.0000 0.5000 0.0000 1
Ru2 Ru 0.0748 0.5000 0.7108 1
Ru3 Ru 0.2105 0.5000 0.4258 1
Ru4 Ru 0.4267 0.5000 0.2102 1
Ru5 Ru 0.5000 0.5000 0.5000 1
Rh1 Rh 0.2874 0.5000 0.9263 1
```

Fe2BTeRu: PBEsol geometry, SCAN.

Values from the calculation:
Energy relative to the elements, uncorrected, eV per atom: 0.992
M_tot, μB/atom: 1.48

Geometry as CIF:
```
data_Fe2BTeRu
_chemical_formula_sum 'Fe2 B1 Te1 Ru1'
_cell_length_a 4.6608
_cell_length_b 4.6608
_cell_length_c 3.9098
_cell_angle_alpha 90.00
_cell_angle_beta 90.00
_cell_angle_gamma 90.00
_space_group_name_H-M_alt 'P 4/m m m'
_space_group_IT_number 123
_space_group_name_Hall '-P 4 2'
loop_
_atom_site_label
_atom_site_type_symbol
_atom_site_fract_x
_atom_site_fract_y
_atom_site_fract_z
_atom_site_occupancy
Fe1 Fe 0.0000 0.5000 0.0000 1
B1 B 0.0000 0.0000 0.5000 1
Te1 Te 0.5000 0.5000 0.5000 1
Ru1 Ru 0.0000 0.0000 0.0000 1
```

Zr2FeB2Ru5: PBEsol geometry, SCAN.

Values from the calculation:
M_tot, μB/atom: 0.29
Formation energy, kJ/mol of formula units: -608

Geometry as CIF:
```
data_Zr2FeB2Ru5
_chemical_formula_sum 'Zr4 Fe2 B4 Ru10'
_cell_length_a 9.2164
_cell_length_b 9.2164
_cell_length_c 3.0358
_cell_angle_alpha 90.00
_cell_angle_beta 90.00
_cell_angle_gamma 90.00
_space_group_name_H-M_alt 'P 4/m b m'
_space_group_IT_number 127
_space_group_name_Hall '-P 4 2ab'
loop_
_atom_site_label
_atom_site_type_symbol
_atom_site_fract_x
_atom_site_fract_y
_atom_site_fract_z
_atom_site_occupancy
Zr1 Zr 0.1761 0.3239 0.0000 1
Fe1 Fe 0.0000 0.0000 0.0000 1
B1 B 0.1240 0.6240 0.0000 1
Ru1 Ru 0.0000 0.5000 0.5000 1
Ru2 Ru 0.0703 0.7871 0.5000 1
```

- What is the M_tot in the second record?
  0.33 μB/atom

- Among the records above, which one has the highest M_tot?
  Fe2BTeRu

- Which of these has the lowest M_tot?
  Zr2FeB2Ru5